Record 1
# PBE NaTlS2, relaxed
data_NaTlS2
_symmetry_space_group_name_H-M 'P 1'
_symmetry_Int_Tables_number 1
_symmetry_space_group_name_Hall 'P 1'
_cell_length_a 4.0104
_cell_length_b 4.0104
_cell_length_c 7.2896
_cell_angle_alpha 90.00
_cell_angle_beta 90.00
_cell_angle_gamma 120.00
loop_
_atom_site_label
_atom_site_type_symbol
_atom_site_fract_x
_atom_site_fract_y
_atom_site_fract_z
Na1 Na 0.3333 0.6667 0.4316
Tl1 Tl 0.0000 0.0000 0.9970
S1 S 0.3333 0.6667 0.8069
S2 S 0.6667 0.3333 0.2196
# V ... 25.38 Å³ per atom
# Energy relative to the elements, uncorrected ... -463 meV/atom
# Space-group type ... No. 156
# Total DFT energy (no corrections) ... -3.4483 eV per atom

***

Record 2
# PBE NdPa4N8, relaxed
data_NdPa4N8
_symmetry_space_group_name_H-M 'P 1'
_symmetry_Int_Tables_number 1
_symmetry_space_group_name_Hall 'P 1'
_cell_length_a 3.6950
_cell_length_b 8.6971
_cell_length_c 7.2054
_cell_angle_alpha 75.37
_cell_angle_beta 75.14
_cell_angle_gamma 77.74
loop_
_atom_site_label
_atom_site_type_symbol
_atom_site_fract_x
_atom_site_fract_y
_atom_site_fract_z
Nd1 Nd 0.6494 0.8551 0.8462
Pa1 Pa 0.3672 0.8446 0.4209
Pa2 Pa 0.8883 0.4514 0.7719
Pa3 Pa 0.1306 0.5486 0.1901
Pa4 Pa 0.6604 0.2039 0.4752
N1 N 0.0915 0.3565 0.4605
N2 N 0.5523 0.7229 0.1724
N3 N 0.4699 0.3118 0.7485
N4 N 0.8968 0.6815 0.5250
N5 N 0.8352 0.0052 0.3244
N6 N 0.2544 0.6301 0.8611
N7 N 0.1773 0.0058 0.6395
N8 N 0.7309 0.4046 0.1336
# V ... 16.45 Å³ per atom
# Energy relative to the elements, uncorrected ... -1428 meV/atom
# Space-group type ... No. 8
# Total DFT energy (no corrections) ... -9.8399 eV per atom

***

- What is the formula in the first record?
  NaTlS2